No. 1
A plane-wave DFT calculation with PBE was carried out for a relaxed Ba2NaPtC crystal.

Lattice parameters (Å, degrees): 6.079 6.079 3.941 90.00 90.00 90.00
Space group P4/mmm (No. 123)
Asymmetric unit:
1 Ba 0.000 0.500 0.000
2 Na 0.000 0.000 0.500
3 Pt 0.500 0.500 0.500
4 C 0.500 0.500 0.000

No. 2
A plane-wave DFT calculation with PBE was carried out for a relaxed Ba2NaRhC crystal.

Lattice parameters (Å, degrees): 6.043 6.043 3.958 90.00 90.00 90.00
Space group P4/mmm (No. 123)
Asymmetric unit:
1 Ba 0.000 0.500 0.000
2 Na 0.000 0.000 0.500
3 Rh 0.500 0.500 0.500
4 C 0.500 0.500 0.000

Number 1: E -4.185 eV per atom, formation energy -0.100 eV/atom. Number 2: E -4.265 eV per atom, formation energy 0.083 eV/atom.